Entry 1:
This record from Alexandria describes a geometry-optimized ScSi2Hg structure. The functional is PBE.

Lattice parameters (Å, degrees): 2.9502 4.5076 5.4498 90.00 90.00 90.00
Atoms (fractional coordinates):
Sc (0.0000, 0.0000, 0.0000)
Si (0.5000, 0.0000, 0.5518)
Si (0.5000, 0.5000, 0.7940)
Hg (0.5000, 0.5000, 0.2828)

For the formation energy from raw total energies, the calculation gives -82 meV/atom.


Entry 2:
This record from Alexandria describes a geometry-optimized HoAlSiIr2 structure. The functional is PBE.

Lattice parameters (Å, degrees): 6.5629 6.5629 7.0709 90.00 90.00 142.33
Atoms (fractional coordinates):
Ho (0.1034, 0.8966, 0.7500)
Ho (0.8966, 0.1034, 0.2500)
Al (0.2007, 0.7993, 0.2500)
Al (0.7993, 0.2007, 0.7500)
Si (0.5000, 0.5000, 0.0000)
Si (0.5000, 0.5000, 0.5000)
Ir (0.3230, 0.6770, 0.5464)
Ir (0.3230, 0.6770, 0.9536)
Ir (0.6770, 0.3230, 0.0464)
Ir (0.6770, 0.3230, 0.4536)

For the formation energy from raw total energies, the calculation gives -685 meV/atom.


Entry 3:
This record from Alexandria describes a geometry-optimized KSr2P structure. The functional is PBE.

Lattice parameters (Å, degrees): 3.8928 3.8928 11.1402 90.00 90.00 90.00
Atoms (fractional coordinates):
K (0.0000, 0.0000, 0.0000)
Sr (0.5000, 0.5000, 0.3570)
Sr (0.5000, 0.5000, 0.6430)
P (0.0000, 0.0000, 0.5000)

As for the formation enthalpy at 0 K: -1.9 eV per formula unit.


Entry 4:
This record from Alexandria describes a geometry-optimized PmPrTmHg structure. The functional is PBE.

Lattice parameters (Å, degrees): 5.5142 5.5142 5.5142 60.00 60.00 60.00
Atoms (fractional coordinates):
Pm (0.0000, 0.0000, 0.0000)
Pr (0.5000, 0.5000, 0.5000)
Tm (0.2500, 0.2500, 0.2500)
Hg (0.7500, 0.7500, 0.7500)

The value obtained for the energy above the most stable polymorph in this dataset is 149 meV/atom. As for the formation enthalpy at 0 K: -0.3 eV per formula unit.


Entry 5:
This record from Alexandria describes a geometry-optimized NaEuGe2 structure. The functional is PBE.

Lattice parameters (Å, degrees): 4.5435 4.5435 4.4058 90.00 90.00 90.00
Atoms (fractional coordinates):
Na (0.0000, 0.0000, 0.0000)
Eu (0.5000, 0.5000, 0.0000)
Ge (0.0000, 0.5000, 0.5000)
Ge (0.5000, 0.0000, 0.5000)

As for the formation enthalpy at 0 K: -1.1 eV per formula unit.


Entry 6:
This record from Alexandria describes a geometry-optimized CaMn3Cl structure. The functional is PBE.

Lattice parameters (Å, degrees): 5.7970 5.7970 5.7970 90.00 90.00 90.00
Atoms (fractional coordinates):
Ca (0.0000, 0.0000, 0.0000)
Mn (0.0000, 0.0000, 0.5000)
Mn (0.0000, 0.5000, 0.0000)
Mn (0.5000, 0.0000, 0.0000)
Cl (0.5000, 0.5000, 0.5000)

For the formation energy from raw total energies, the calculation gives 1569 meV/atom. The value obtained for the energy above the most stable polymorph in this dataset is 1001 meV/atom.


It is found that the total energy values, taken in the order of the records, are -17.81, -69.78, -11.77, -14.64, -21.94, -23.51 eV/cell.
It is found that the mass density values, taken in the order of the records, are 6.913, 10.786, 2.413, 9.180, 5.847, 2.049 g cm⁻³.